No. 1
VASP calculation (PBE) on AcTa4N6 after structural relaxation.

Calculated values
Formation energy without anion corrections in eV per atom: -1.102
Uncorrected energy in eV/atom: -10.327
ρ in Mg/m³: 12.8
Symmetry: Cmcm

Lattice parameters (Å, degrees): 5.461 5.461 15.992 90.00 90.00 145.76
Positions (direct):
1 Ac 0.153 0.847 0.750
2 Ac 0.847 0.153 0.250
3 Ta 0.104 0.896 0.126
4 Ta 0.104 0.896 0.374
5 Ta 0.353 0.647 0.042
6 Ta 0.353 0.647 0.458
7 Ta 0.647 0.353 0.542
8 Ta 0.647 0.353 0.958
9 Ta 0.896 0.104 0.626
10 Ta 0.896 0.104 0.874
11 N 0.000 0.000 0.000
12 N 0.000 0.000 0.500
13 N 0.147 0.853 0.250
14 N 0.264 0.736 0.591
15 N 0.264 0.736 0.909
16 N 0.471 0.529 0.148
17 N 0.471 0.529 0.352
18 N 0.529 0.471 0.648
19 N 0.529 0.471 0.852
20 N 0.736 0.264 0.091
21 N 0.736 0.264 0.409
22 N 0.853 0.147 0.750

=====

No. 2
VASP calculation (PBE) on ThSbPbO6 after structural relaxation.

Calculated values
Formation energy without anion corrections in eV per atom: -2.002
Uncorrected energy in eV/atom: -7.002
ρ in Mg/m³: 7.8
Symmetry: P4_2nm

Lattice parameters (Å, degrees): 5.144 5.144 10.547 90.00 90.00 90.00
Positions (direct):
1 Th 0.000 0.000 0.000
2 Th 0.500 0.500 0.500
3 Sb 0.000 0.000 0.661
4 Sb 0.500 0.500 0.161
5 Pb 0.000 0.000 0.328
6 Pb 0.500 0.500 0.828
7 O 0.178 0.178 0.811
8 O 0.185 0.185 0.518
9 O 0.222 0.222 0.156
10 O 0.278 0.722 0.656
11 O 0.315 0.685 0.018
12 O 0.322 0.678 0.311
13 O 0.678 0.322 0.311
14 O 0.685 0.315 0.018
15 O 0.722 0.278 0.656
16 O 0.778 0.778 0.156
17 O 0.815 0.815 0.518
18 O 0.822 0.822 0.811

=====

No. 3
VASP calculation (PBE) on K3HgF6 after structural relaxation.

Calculated values
Formation energy without anion corrections in eV per atom: -2.166
Uncorrected energy in eV/atom: -3.649
ρ in Mg/m³: 3.7
Symmetry: P2_1/c

Lattice parameters (Å, degrees): 6.376 6.688 11.008 90.00 124.56 90.00
Positions (direct):
1 K 0.000 0.000 0.000
2 K 0.000 0.500 0.500
3 K 0.224 0.057 0.744
4 K 0.224 0.443 0.244
5 K 0.776 0.557 0.756
6 K 0.776 0.943 0.256
7 Hg 0.500 0.000 0.500
8 Hg 0.500 0.500 0.000
9 F 0.170 0.180 0.450
10 F 0.170 0.320 0.950
11 F 0.245 0.727 0.423
12 F 0.245 0.773 0.923
13 F 0.395 0.064 0.274
14 F 0.395 0.436 0.774
15 F 0.605 0.564 0.226
16 F 0.605 0.936 0.726
17 F 0.755 0.227 0.077
18 F 0.755 0.273 0.577
19 F 0.830 0.680 0.050
20 F 0.830 0.820 0.550

=====

No. 4
VASP calculation (PBE) on BaTlSbS3 after structural relaxation.

Calculated values
Formation energy without anion corrections in eV per atom: -0.798
Uncorrected energy in eV/atom: -4.264
ρ in Mg/m³: 5.5
Symmetry: P-1

Lattice parameters (Å, degrees): 5.298 8.112 9.243 115.87 106.46 90.39
Positions (direct):
1 Ba 0.182 0.181 0.364
2 Ba 0.818 0.819 0.636
3 Tl 0.140 0.639 0.281
4 Tl 0.860 0.361 0.719
5 Sb 0.491 0.810 0.000
6 Sb 0.509 0.190 0.000
7 S 0.010 0.771 0.000
8 S 0.338 0.083 0.678
9 S 0.341 0.595 0.678
10 S 0.659 0.405 0.322
11 S 0.662 0.917 0.322
12 S 0.990 0.229 0.000

=====

No. 5
VASP calculation (PBE) on Ba2InSn after structural relaxation.

Calculated values
Uncorrected energy in eV/atom: -2.578
Offset from the most stable computed form in meV/atom: 630
ρ in Mg/m³: 4.7
Symmetry: R-3m

Lattice parameters (Å, degrees): 4.069 4.069 37.254 90.00 90.00 120.00
Positions (direct):
1 Ba 0.000 0.000 0.094
2 Ba 0.000 0.000 0.906
3 Ba 0.333 0.667 0.572
4 Ba 0.333 0.667 0.761
5 Ba 0.667 0.333 0.239
6 Ba 0.667 0.333 0.428
7 In 0.000 0.000 0.500
8 In 0.333 0.667 0.167
9 In 0.667 0.333 0.833
10 Sn 0.000 0.000 0.000
11 Sn 0.333 0.667 0.667
12 Sn 0.667 0.333 0.333

=====

No. 6
VASP calculation (PBE) on TlCrPS2 after structural relaxation.

Calculated values
Formation energy without anion corrections in eV per atom: 1.188
Uncorrected energy in eV/atom: -3.943
Offset from the most stable computed form in meV/atom: 1064
ρ in Mg/m³: 4.3
Symmetry: P4/mmm

Lattice parameters (Å, degrees): 5.141 5.141 5.081 90.00 90.00 90.00
Positions (direct):
1 Tl 0.000 0.000 0.000
2 Cr 0.500 0.500 0.500
3 P 0.000 0.000 0.500
4 S 0.000 0.500 0.000
5 S 0.500 0.000 0.000

=====

No. 7
VASP calculation (PBE) on Cs2BOsI6 after structural relaxation.

Calculated values
Formation energy without anion corrections in eV per atom: -0.154
Uncorrected energy in eV/atom: -3.046
ρ in Mg/m³: 4.9
Symmetry: I4/mmm

Lattice parameters (Å, degrees): 8.149 8.149 8.149 112.36 112.36 103.83
Positions (direct):
1 Cs 0.250 0.750 0.500
2 Cs 0.750 0.250 0.500
3 B 0.000 0.000 0.000
4 Os 0.500 0.500 0.000
5 I 0.216 0.216 0.000
6 I 0.288 0.288 0.576
7 I 0.288 0.712 0.000
8 I 0.712 0.288 0.000
9 I 0.712 0.712 0.424
10 I 0.784 0.784 0.000

=====

No. 8
VASP calculation (PBE) on CaTbMgPt after structural relaxation.

Calculated values
Uncorrected energy in eV/atom: -4.090
ρ in Mg/m³: 7.4
Symmetry: F-43m

Lattice parameters (Å, degrees): 7.224 7.224 7.224 90.00 90.00 90.00
Positions (direct):
1 Ca 0.000 0.000 0.000
2 Ca 0.000 0.500 0.500
3 Ca 0.500 0.000 0.500
4 Ca 0.500 0.500 0.000
5 Tb 0.000 0.000 0.500
6 Tb 0.000 0.500 0.000
7 Tb 0.500 0.000 0.000
8 Tb 0.500 0.500 0.500
9 Mg 0.250 0.250 0.250
10 Mg 0.250 0.750 0.750
11 Mg 0.750 0.250 0.750
12 Mg 0.750 0.750 0.250
13 Pt 0.250 0.250 0.750
14 Pt 0.250 0.750 0.250
15 Pt 0.750 0.250 0.250
16 Pt 0.750 0.750 0.750